This record from Alexandria describes a relaxed EuCrO3 crystal. The functional is PBE with a Hubbard U.

```
20
Lattice="5.544 0.000 0.000 0.000 7.754 0.000 0.000 0.000 5.467" Properties=species:S:1:pos:R:3 pbc="T T T"
Eu 0.240 1.939 0.040
Eu 2.532 5.816 2.774
Eu 3.012 1.939 2.693
Eu 5.305 5.816 5.427
Cr 0.000 0.000 2.733
Cr 0.000 3.877 2.733
Cr 2.772 0.000 0.000
Cr 2.772 3.877 0.000
O 0.123 5.816 2.286
O 1.126 4.201 4.362
O 1.126 7.430 4.362
O 1.646 0.324 1.628
O 1.646 3.553 1.628
O 2.649 1.939 5.019
O 2.896 5.816 0.448
O 3.898 4.201 3.839
O 3.898 7.430 3.839
O 4.419 0.324 1.105
O 4.419 3.553 1.105
O 5.421 1.939 3.181
```

Computed properties:
DFT total energy: -8.92 eV per atom
magnetization: 36.0 μB/cell